Density functional theory data (PBE) for crystalline Pr6TlCo2 at its relaxed geometry.

Properties
space-group type = No. 12
DFT formation energy = -0.17 kJ per mole of atoms

Cell lengths 5.375, 5.375, 10.567 Å; angles 91.00, 91.00, 62.86 degrees
Element x y z (fractional)
Pr: 0.009 0.009 0.314
Pr: 0.331 0.331 0.596
Pr: 0.341 0.341 0.117
Pr: 0.659 0.659 0.883
Pr: 0.669 0.669 0.404
Pr: 0.991 0.991 0.686
Tl: 0.000 0.000 0.000
Co: 0.338 0.338 0.351
Co: 0.662 0.662 0.649